# 1
{
  "formula": "Ca14LaPr",
  "functional": "PBE",
  "state": "relaxed",
  "lattice": [[7.765, 1.042, 0.000], [-1.042, 7.765, 0.000], [0.000, 0.000, 10.767]],
  "species": ["Ca", "Ca", "Ca", "Ca", "Ca", "Ca", "Ca", "Ca", "Ca", "Ca", "Ca", "Ca", "Ca", "Ca", "La", "Pr"],
  "frac_coords": [[0.375, 0.625, 0.500], [0.875, 0.125, 0.500], [0.875, 0.625, 0.000], [0.875, 0.625, 0.500], [0.375, 0.125, 0.000], [0.375, 0.125, 0.500], [0.624, 0.874, 0.754], [0.624, 0.874, 0.246], [0.126, 0.376, 0.754], [0.126, 0.376, 0.246], [0.125, 0.875, 0.754], [0.125, 0.875, 0.246], [0.625, 0.375, 0.754], [0.625, 0.375, 0.246], [0.875, 0.125, 0.000], [0.375, 0.625, 0.000]],
  "m_tot_mub_per_fu": 2.8,
  "delta_e_f_mev_per_atom": 54.3,
  "rho_g_cm3": 2.11
}

***

# 2
{
  "formula": "Be2CdPt",
  "functional": "PBE",
  "state": "relaxed",
  "lattice": [[4.999, -0.036, 0.050], [2.482, 4.340, -0.050], [-3.597, -2.402, 2.508]],
  "species": ["Be", "Be", "Pt", "Cd"],
  "frac_coords": [[0.044, 0.044, 0.000], [0.744, 0.244, 0.500], [0.227, 0.727, 0.500], [0.485, 0.485, 0.000]],
  "m_tot_mub_per_fu": 0.0,
  "delta_e_f_mev_per_atom": -128.9,
  "rho_g_cm3": 9.92
}